1.
# CaRhO3, relaxed, DFT PBE
data_CaRhO3
_chemical_formula_sum 'Ca4 Rh4 O12'
_symmetry_space_group_name_H-M 'P n m a'
_symmetry_Int_Tables_number 62
_cell_length_a 6.6779
_cell_length_b 3.1860
_cell_length_c 11.0629
_cell_angle_alpha 90.00
_cell_angle_beta 90.00
_cell_angle_gamma 90.00
loop_
_symmetry_equiv_pos_as_xyz
'x,y,z'
'-x,-y,-z'
'-x+1/2,-y,z+1/2'
'x+1/2,y,-z+1/2'
'x+1/2,-y+1/2,-z+1/2'
'-x+1/2,y+1/2,z+1/2'
'-x,y+1/2,-z'
'x,-y+1/2,z'
loop_
_atom_site_label
_atom_site_type_symbol
_atom_site_fract_x
_atom_site_fract_y
_atom_site_fract_z
Ca1 Ca 0.0697 0.2500 0.1834
Rh1 Rh 0.1774 0.7500 0.4485
O1 O 0.9996 0.2500 0.3982
O2 O 0.1673 0.7500 0.0106
O3 O 0.1954 0.2500 0.7877
# formation energy (no corrections) = -1639 meV/atom
# calculated density = 5.39 g cm⁻³
# spin magnetization = 1.01 μB/f.u.
# energy = -6.48 eV/atom

2.
# Ca2RhO, relaxed, DFT PBE
data_Ca2RhO
_chemical_formula_sum 'Ca6 Rh3 O3'
_symmetry_space_group_name_H-M 'R -3 m'
_symmetry_Int_Tables_number 166
_symmetry_space_group_name_Hall '-R 3 2"'
_cell_length_a 3.3265
_cell_length_b 3.3265
_cell_length_c 23.5756
_cell_angle_alpha 90.00
_cell_angle_beta 90.00
_cell_angle_gamma 120.00
loop_
_atom_site_label
_atom_site_type_symbol
_atom_site_fract_x
_atom_site_fract_y
_atom_site_fract_z
Ca1 Ca 0.0000 0.0000 0.1068
Rh1 Rh 0.0000 0.0000 0.0000
O1 O 0.0000 0.0000 0.5000
# formation energy (no corrections) = -1128 meV/atom
# calculated density = 4.39 g cm⁻³
# spin magnetization = 0.00 μB/f.u.
# energy = -5.21 eV/atom

3.
# CaRh2O6, relaxed, DFT PBE
data_CaRh2O6
_chemical_formula_sum 'Ca1 Rh2 O6'
_symmetry_space_group_name_H-M 'P -3 1 m'
_symmetry_Int_Tables_number 162
_symmetry_space_group_name_Hall '-P 3 2'
_cell_length_a 5.2479
_cell_length_b 5.2479
_cell_length_c 4.9416
_cell_angle_alpha 90.00
_cell_angle_beta 90.00
_cell_angle_gamma 120.00
loop_
_atom_site_label
_atom_site_type_symbol
_atom_site_fract_x
_atom_site_fract_y
_atom_site_fract_z
Ca1 Ca 0.0000 0.0000 0.0000
Rh1 Rh 0.3333 0.6667 0.5000
O1 O 0.0000 0.3705 0.7155
# formation energy (no corrections) = -1142 meV/atom
# calculated density = 4.82 g cm⁻³
# spin magnetization = 2.43 μB/f.u.
# energy = -6.30 eV/atom

4.
# CaRhO3, relaxed, DFT PBE
data_CaRhO3
_chemical_formula_sum 'Ca1 Rh1 O3'
_symmetry_space_group_name_H-M 'P m -3 m'
_symmetry_Int_Tables_number 221
_symmetry_space_group_name_Hall '-P 4 2 3'
_cell_length_a 4.2048
_cell_length_b 4.2048
_cell_length_c 4.2048
_cell_angle_alpha 90.00
_cell_angle_beta 90.00
_cell_angle_gamma 90.00
loop_
_atom_site_label
_atom_site_type_symbol
_atom_site_fract_x
_atom_site_fract_y
_atom_site_fract_z
Ca1 Ca 0.0000 0.0000 0.0000
Rh1 Rh 0.5000 0.5000 0.5000
O1 O 0.0000 0.0000 0.5000
# formation energy (no corrections) = 76 meV/atom
# calculated density = 4.27 g cm⁻³
# spin magnetization = 5.00 μB/f.u.
# energy = -4.77 eV/atom

5.
# CaRh2O, relaxed, DFT PBE
data_CaRh2O
_chemical_formula_sum 'Ca4 Rh8 O4'
_symmetry_space_group_name_H-M 'I 41/a m d'
_symmetry_Int_Tables_number 141
_cell_length_a 4.9809
_cell_length_b 4.9809
_cell_length_c 12.7493
_cell_angle_alpha 90.00
_cell_angle_beta 90.00
_cell_angle_gamma 90.00
loop_
_symmetry_equiv_pos_as_xyz
'x,y,z'
'-x,-y,-z'
'-y+1/4,x+3/4,z+1/4'
'y+1/4,-x+3/4,-z+1/4'
'-x+1/2,-y,z+1/2'
'x+1/2,y,-z+1/2'
'y+1/4,-x+1/4,z+3/4'
'-y+1/4,x+1/4,-z+3/4'
'x,-y,-z'
'-x,y,z'
'-y+1/4,-x+1/4,-z+3/4'
'y+1/4,x+1/4,z+3/4'
'-x+1/2,y,-z+1/2'
'x+1/2,-y,z+1/2'
'y+1/4,x+3/4,-z+1/4'
'-y+1/4,-x+3/4,z+1/4'
'x+1/2,y+1/2,z+1/2'
'-x+1/2,-y+1/2,-z+1/2'
'-y+3/4,x+1/4,z+3/4'
'y+3/4,-x+1/4,-z+3/4'
'-x,-y+1/2,z'
'x,y+1/2,-z'
'y+3/4,-x+3/4,z+1/4'
'-y+3/4,x+3/4,-z+1/4'
'x+1/2,-y+1/2,-z+1/2'
'-x+1/2,y+1/2,z+1/2'
'-y+3/4,-x+3/4,-z+1/4'
'y+3/4,x+3/4,z+1/4'
'-x,y+1/2,-z'
'x,-y+1/2,z'
'y+3/4,x+1/4,-z+3/4'
'-y+3/4,-x+1/4,z+3/4'
loop_
_atom_site_label
_atom_site_type_symbol
_atom_site_fract_x
_atom_site_fract_y
_atom_site_fract_z
Ca1 Ca 0.0000 0.2500 0.3750
Rh1 Rh 0.0000 0.0000 0.0000
O1 O 0.0000 0.2500 0.8750
# formation energy (no corrections) = -389 meV/atom
# calculated density = 5.50 g cm⁻³
# spin magnetization = 0.00 μB/f.u.
# energy = -5.80 eV/atom

6.
# CaRh3O6, relaxed, DFT PBE
data_CaRh3O6
_chemical_formula_sum 'Ca2 Rh6 O12'
_symmetry_space_group_name_H-M 'P 1 21/m 1'
_symmetry_Int_Tables_number 11
_cell_length_a 8.9326
_cell_length_b 3.1309
_cell_length_c 9.2103
_cell_angle_alpha 90.00
_cell_angle_beta 115.99
_cell_angle_gamma 90.00
loop_
_symmetry_equiv_pos_as_xyz
'x,y,z'
'-x,-y,-z'
'-x,y+1/2,-z'
'x,-y+1/2,z'
loop_
_atom_site_label
_atom_site_type_symbol
_atom_site_fract_x
_atom_site_fract_y
_atom_site_fract_z
Ca1 Ca 0.1259 0.2500 0.3927
Rh1 Rh 0.1446 0.7500 0.9911
Rh2 Rh 0.2521 0.2500 0.7607
Rh3 Rh 0.4501 0.2500 0.3379
O1 O 0.0496 0.2500 0.8149
O2 O 0.1473 0.7500 0.5996
O3 O 0.2279 0.2500 0.1438
O4 O 0.3248 0.7500 0.9177
O5 O 0.3555 0.7500 0.4257
O6 O 0.4532 0.2500 0.7250
# formation energy (no corrections) = -1142 meV/atom
# calculated density = 6.38 g cm⁻³
# spin magnetization = 0.94 μB/f.u.
# energy = -6.52 eV/atom

7.
# CaRhO3, relaxed, DFT PBE
data_CaRhO3
_chemical_formula_sum 'Ca6 Rh6 O18'
_symmetry_space_group_name_H-M 'P 1 21/m 1'
_symmetry_Int_Tables_number 11
_cell_length_a 8.9663
_cell_length_b 3.1720
_cell_length_c 12.6162
_cell_angle_alpha 90.00
_cell_angle_beta 103.93
_cell_angle_gamma 90.00
loop_
_symmetry_equiv_pos_as_xyz
'x,y,z'
'-x,-y,-z'
'-x,y+1/2,-z'
'x,-y+1/2,z'
loop_
_atom_site_label
_atom_site_type_symbol
_atom_site_fract_x
_atom_site_fract_y
_atom_site_fract_z
Ca1 Ca 0.0083 0.2500 0.3505
Ca2 Ca 0.3317 0.2500 0.0541
Ca3 Ca 0.3853 0.2500 0.3333
Rh1 Rh 0.0000 0.2500 0.8916
Rh2 Rh 0.2706 0.7500 0.5436
Rh3 Rh 0.3553 0.2500 0.8066
O1 O 0.1168 0.7500 0.9855
O2 O 0.1236 0.2500 0.1800
O3 O 0.1246 0.2500 0.7836
O4 O 0.1273 0.2500 0.5472
O5 O 0.2132 0.7500 0.3813
O6 O 0.3295 0.7500 0.7062
O7 O 0.3923 0.7500 0.9143
O8 O 0.4139 0.2500 0.5497
O9 O 0.4181 0.7500 0.1910
# formation energy (no corrections) = -1675 meV/atom
# calculated density = 5.46 g cm⁻³
# spin magnetization = 0.95 μB/f.u.
# energy = -6.52 eV/atom

8.
# Ca2Rh3O8, relaxed, DFT PBE
data_Ca2Rh3O8
_chemical_formula_sum 'Ca4 Rh6 O16'
_symmetry_space_group_name_H-M 'C 1 2/m 1'
_symmetry_Int_Tables_number 12
_cell_length_a 11.0211
_cell_length_b 6.2563
_cell_length_c 5.2898
_cell_angle_alpha 90.00
_cell_angle_beta 110.71
_cell_angle_gamma 90.00
loop_
_symmetry_equiv_pos_as_xyz
'x,y,z'
'-x,-y,-z'
'-x,y,-z'
'x,-y,z'
'x+1/2,y+1/2,z'
'-x+1/2,-y+1/2,-z'
'-x+1/2,y+1/2,-z'
'x+1/2,-y+1/2,z'
loop_
_atom_site_label
_atom_site_type_symbol
_atom_site_fract_x
_atom_site_fract_y
_atom_site_fract_z
Ca1 Ca 0.2231 0.0000 0.1621
Rh1 Rh 0.0000 0.2437 0.5000
Rh2 Rh 0.0000 0.5000 0.0000
O1 O 0.0995 0.5000 0.4130
O2 O 0.1028 0.0000 0.4465
O3 O 0.1057 0.2785 0.8945
# formation energy (no corrections) = -1471 meV/atom
# calculated density = 5.03 g cm⁻³
# spin magnetization = 1.08 μB/f.u.
# energy = -6.53 eV/atom

9.
# CaRh3O8, relaxed, DFT PBE
data_CaRh3O8
_chemical_formula_sum 'Ca1 Rh3 O8'
_symmetry_space_group_name_H-M 'P -3'
_symmetry_Int_Tables_number 147
_cell_length_a 5.5058
_cell_length_b 5.5058
_cell_length_c 5.7926
_cell_angle_alpha 90.00
_cell_angle_beta 90.00
_cell_angle_gamma 120.00
loop_
_symmetry_equiv_pos_as_xyz
'x,y,z'
'-x,-y,-z'
'-y,x-y,z'
'y,-x+y,-z'
'-x+y,-x,z'
'x-y,x,-z'
loop_
_atom_site_label
_atom_site_type_symbol
_atom_site_fract_x
_atom_site_fract_y
_atom_site_fract_z
Ca1 Ca 0.0000 0.0000 0.0000
Rh1 Rh 0.0000 0.0000 0.5000
Rh2 Rh 0.3333 0.6667 0.5535
O1 O 0.0652 0.3578 0.3453
O2 O 0.3333 0.6667 0.8681
# formation energy (no corrections) = -696 meV/atom
# calculated density = 5.21 g cm⁻³
# spin magnetization = 0.86 μB/f.u.
# energy = -6.01 eV/atom

10.
# Ca3Rh5O12, relaxed, DFT PBE
data_Ca3Rh5O12
_chemical_formula_sum 'Ca24 Rh40 O96'
_symmetry_space_group_name_H-M 'I a -3 d'
_symmetry_Int_Tables_number 230
_symmetry_space_group_name_Hall '-I 4bd 2c 3'
_cell_length_a 12.7978
_cell_length_b 12.7978
_cell_length_c 12.7978
_cell_angle_alpha 90.00
_cell_angle_beta 90.00
_cell_angle_gamma 90.00
loop_
_atom_site_label
_atom_site_type_symbol
_atom_site_fract_x
_atom_site_fract_y
_atom_site_fract_z
Ca1 Ca 0.0000 0.2500 0.1250
Rh1 Rh 0.0000 0.0000 0.0000
Rh2 Rh 0.0000 0.2500 0.3750
O1 O 0.0231 0.0507 0.6492
# formation energy (no corrections) = -1237 meV/atom
# calculated density = 5.24 g cm⁻³
# spin magnetization = 1.60 μB/f.u.
# energy = -6.35 eV/atom

11.
# CaRhO3, relaxed, DFT PBE
data_CaRhO3
_chemical_formula_sum 'Ca8 Rh8 O24'
_symmetry_space_group_name_H-M 'C 1 2/c 1'
_symmetry_Int_Tables_number 15
_cell_length_a 9.5697
_cell_length_b 5.5065
_cell_length_c 9.5543
_cell_angle_alpha 90.00
_cell_angle_beta 109.05
_cell_angle_gamma 90.00
loop_
_symmetry_equiv_pos_as_xyz
'x,y,z'
'-x,-y,-z'
'-x,y,-z+1/2'
'x,-y,z+1/2'
'x+1/2,y+1/2,z'
'-x+1/2,-y+1/2,-z'
'-x+1/2,y+1/2,-z+1/2'
'x+1/2,-y+1/2,z+1/2'
loop_
_atom_site_label
_atom_site_type_symbol
_atom_site_fract_x
_atom_site_fract_y
_atom_site_fract_z
Ca1 Ca 0.1361 0.2355 0.1358
Rh1 Rh 0.0000 0.2545 0.7500
Rh2 Rh 0.2500 0.2500 0.5000
O1 O 0.0693 0.2456 0.5691
O2 O 0.1544 0.4910 0.3382
O3 O 0.1605 0.0095 0.8474
# formation energy (no corrections) = -1621 meV/atom
# calculated density = 5.33 g cm⁻³
# spin magnetization = 1.01 μB/f.u.
# energy = -6.47 eV/atom

12.
# Ca3RhO4, relaxed, DFT PBE
data_Ca3RhO4
_chemical_formula_sum 'Ca6 Rh2 O8'
_symmetry_space_group_name_H-M 'I 4/m m m'
_symmetry_Int_Tables_number 139
_symmetry_space_group_name_Hall '-I 4 2'
_cell_length_a 4.7604
_cell_length_b 4.7604
_cell_length_c 9.2463
_cell_angle_alpha 90.00
_cell_angle_beta 90.00
_cell_angle_gamma 90.00
loop_
_atom_site_label
_atom_site_type_symbol
_atom_site_fract_x
_atom_site_fract_y
_atom_site_fract_z
Ca1 Ca 0.0000 0.0000 0.0000
Ca2 Ca 0.0000 0.5000 0.2500
Rh1 Rh 0.0000 0.0000 0.5000
O1 O 0.0000 0.0000 0.2606
O2 O 0.0000 0.5000 0.0000
# formation energy (no corrections) = -2244 meV/atom
# calculated density = 4.55 g cm⁻³
# spin magnetization = 0.11 μB/f.u.
# energy = -6.39 eV/atom

13.
# Ca5RhO6, relaxed, DFT PBE
data_Ca5RhO6
_chemical_formula_sum 'Ca10 Rh2 O12'
_symmetry_space_group_name_H-M 'C 1 2/m 1'
_symmetry_Int_Tables_number 12
_cell_length_a 5.7908
_cell_length_b 10.1901
_cell_length_c 5.7680
_cell_angle_alpha 90.00
_cell_angle_beta 107.91
_cell_angle_gamma 90.00
loop_
_symmetry_equiv_pos_as_xyz
'x,y,z'
'-x,-y,-z'
'-x,y,-z'
'x,-y,z'
'x+1/2,y+1/2,z'
'-x+1/2,-y+1/2,-z'
'-x+1/2,y+1/2,-z'
'x+1/2,-y+1/2,z'
loop_
_atom_site_label
_atom_site_type_symbol
_atom_site_fract_x
_atom_site_fract_y
_atom_site_fract_z
Ca1 Ca 0.0000 0.0000 0.0000
Ca2 Ca 0.0000 0.1696 0.5000
Ca3 Ca 0.0000 0.3369 0.0000
Rh1 Rh 0.0000 0.5000 0.5000
O1 O 0.2373 0.5000 0.2656
O2 O 0.2428 0.1677 0.2427
# formation energy (no corrections) = -2459 meV/atom
# calculated density = 4.09 g cm⁻³
# spin magnetization = 1.00 μB/f.u.
# energy = -6.39 eV/atom

14.
# CaRh3O, relaxed, DFT PBE
data_CaRh3O
_chemical_formula_sum 'Ca1 Rh3 O1'
_symmetry_space_group_name_H-M 'P m -3 m'
_symmetry_Int_Tables_number 221
_symmetry_space_group_name_Hall '-P 4 2 3'
_cell_length_a 4.2379
_cell_length_b 4.2379
_cell_length_c 4.2379
_cell_angle_alpha 90.00
_cell_angle_beta 90.00
_cell_angle_gamma 90.00
loop_
_atom_site_label
_atom_site_type_symbol
_atom_site_fract_x
_atom_site_fract_y
_atom_site_fract_z
Ca1 Ca 0.0000 0.0000 0.0000
Rh1 Rh 0.0000 0.5000 0.5000
O1 O 0.5000 0.5000 0.5000
# formation energy (no corrections) = -172 meV/atom
# offset from the most stable computed form = 0 meV/atom
# calculated density = 7.96 g cm⁻³
# spin magnetization = 0.79 μB/f.u.
# energy = -5.97 eV/atom

15.
# CaRhO3, relaxed, DFT PBE
data_CaRhO3
_chemical_formula_sum 'Ca4 Rh4 O12'
_symmetry_space_group_name_H-M 'C m c m'
_symmetry_Int_Tables_number 63
_symmetry_space_group_name_Hall '-C 2c 2'
_cell_length_a 3.1563
_cell_length_b 9.9199
_cell_length_c 7.3754
_cell_angle_alpha 90.00
_cell_angle_beta 90.00
_cell_angle_gamma 90.00
loop_
_atom_site_label
_atom_site_type_symbol
_atom_site_fract_x
_atom_site_fract_y
_atom_site_fract_z
Ca1 Ca 0.0000 0.2493 0.2500
Rh1 Rh 0.0000 0.5000 0.0000
O1 O 0.0000 0.1271 0.5522
O2 O 0.0000 0.4228 0.7500
# formation energy (no corrections) = -1676 meV/atom
# calculated density = 5.49 g cm⁻³
# spin magnetization = 1.00 μB/f.u.
# energy = -6.52 eV/atom

16.
# CaRhO3, relaxed, DFT PBE
data_CaRhO3
_chemical_formula_sum 'Ca1 Rh1 O3'
_symmetry_space_group_name_H-M 'P m -3 m'
_symmetry_Int_Tables_number 221
_symmetry_space_group_name_Hall '-P 4 2 3'
_cell_length_a 3.9105
_cell_length_b 3.9105
_cell_length_c 3.9105
_cell_angle_alpha 90.00
_cell_angle_beta 90.00
_cell_angle_gamma 90.00
loop_
_atom_site_label
_atom_site_type_symbol
_atom_site_fract_x
_atom_site_fract_y
_atom_site_fract_z
Ca1 Ca 0.0000 0.0000 0.0000
Rh1 Rh 0.5000 0.5000 0.5000
O1 O 0.0000 0.5000 0.5000
# formation energy (no corrections) = -1405 meV/atom
# calculated density = 5.30 g cm⁻³
# spin magnetization = 1.30 μB/f.u.
# energy = -6.25 eV/atom

17.
# CaRh3O4, relaxed, DFT PBE
data_CaRh3O4
_chemical_formula_sum 'Ca2 Rh6 O8'
_symmetry_space_group_name_H-M 'P m -3 n'
_symmetry_Int_Tables_number 223
_symmetry_space_group_name_Hall '-P 4n 2 3'
_cell_length_a 5.7573
_cell_length_b 5.7573
_cell_length_c 5.7573
_cell_angle_alpha 90.00
_cell_angle_beta 90.00
_cell_angle_gamma 90.00
loop_
_atom_site_label
_atom_site_type_symbol
_atom_site_fract_x
_atom_site_fract_y
_atom_site_fract_z
Ca1 Ca 0.0000 0.0000 0.0000
Rh1 Rh 0.0000 0.2500 0.5000
O1 O 0.2500 0.2500 0.2500
# formation energy (no corrections) = -1190 meV/atom
# calculated density = 7.18 g cm⁻³
# spin magnetization = 0.00 μB/f.u.
# energy = -6.68 eV/atom